<a>
Here is a relaxed structure of Ba3Ag from Alexandria via LeMat-Bulk. Energies are from PBE.

abc: 11.808 11.808 11.808
angles: 23.14 23.14 23.14
Fractional coordinates of all 4 atoms:
Ag1 0.000 0.000 0.000
Ba1 0.500 0.500 0.500
Ba2 0.723 0.723 0.723
Ba3 0.277 0.277 0.277

Computed properties:
- Density of states at the Fermi level: 5.2 states/eV per cell
- V: 55.79 Å³ per atom

---

<b>
Here is a relaxed structure of Ba3Ag from Alexandria via LeMat-Bulk. Energies are from PBE.

abc: 4.557 4.557 11.898
angles: 90.00 90.00 120.00
Fractional coordinates of all 4 atoms:
Ba1 0.667 0.333 0.817
Ba2 0.000 0.000 0.500
Ag1 0.000 0.000 0.000
Ba3 0.667 0.333 0.183

Computed properties:
- Density of states at the Fermi level: 5.8 states/eV per cell
- V: 53.50 Å³ per atom

---

<c>
Here is a relaxed structure of Ba3Ag from Alexandria via LeMat-Bulk. Energies are from PBE.

abc: 7.450 7.450 7.450
angles: 137.39 137.39 61.84
Fractional coordinates of all 4 atoms:
Ag1 0.000 0.000 0.000
Ba1 0.250 0.750 0.500
Ba2 0.750 0.250 0.500
Ba3 0.500 0.500 0.000

Computed properties:
- Density of states at the Fermi level: 6.1 states/eV per cell
- V: 46.82 Å³ per atom

---

<a> takes first place; second place is 1.5 kJ/mol of atoms up.

---

<a>
Here is a relaxed structure of Ba3Ag2 from Alexandria via LeMat-Bulk. Energies are from PBE.

abc: 8.366 8.366 8.951
angles: 62.14 62.14 60.00
Fractional coordinates of all 10 atoms:
Ba1 0.615 0.885 0.250
Ag1 0.684 0.684 0.947
Ba2 0.885 0.250 0.250
Ag2 0.184 0.184 0.447
Ba3 0.750 0.385 0.750
Ba4 0.115 0.750 0.750
Ba5 0.385 0.115 0.750
Ba6 0.250 0.615 0.250
Ag3 0.316 0.316 0.053
Ag4 0.816 0.816 0.553

Computed properties:
- Density of states at the Fermi level: 7.9 states/eV per cell
- V: 45.68 Å³ per atom

---

<b>
Here is a relaxed structure of Ba3Ag2 from Alexandria via LeMat-Bulk. Energies are from PBE.

abc: 12.094 12.094 12.094
angles: 23.03 23.03 23.03
Fractional coordinates of all 5 atoms:
Ba1 0.778 0.778 0.778
Ag1 0.391 0.391 0.391
Ag2 0.609 0.609 0.609
Ba2 0.000 0.000 0.000
Ba3 0.222 0.222 0.222

Computed properties:
- Density of states at the Fermi level: 4.0 states/eV per cell
- V: 47.51 Å³ per atom

---

<c>
Here is a relaxed structure of Ba3Ag2 from Alexandria via LeMat-Bulk. Energies are from PBE.

abc: 8.958 9.053 8.194
angles: 62.35 63.53 54.12
Fractional coordinates of all 10 atoms:
Ag1 0.792 0.294 0.645
Ba1 0.404 0.281 0.712
Ba2 0.969 0.846 0.646
Ba3 0.538 0.646 0.846
Ba4 0.181 0.319 0.319
Ag2 0.605 0.981 0.458
Ba5 0.931 0.069 0.069
Ag3 0.269 0.645 0.294
Ag4 0.956 0.458 0.981
Ba6 0.604 0.712 0.281

Computed properties:
- Density of states at the Fermi level: 9.1 states/eV per cell
- V: 46.27 Å³ per atom

---

<a> takes first place; second place is 2.6 kJ/mol of atoms up.

---

<a>
Here is a relaxed structure of Ba3Ag2 from Alexandria via LeMat-Bulk. Energies are from PBE.

abc: 5.818 5.818 7.119
angles: 90.00 90.00 120.00
Fractional coordinates of all 5 atoms:
Ba1 0.333 0.667 0.327
Ag1 0.333 0.667 0.824
Ag2 0.667 0.333 0.176
Ba2 0.000 0.000 0.000
Ba3 0.667 0.333 0.673

Computed properties:
- Density of states at the Fermi level: 4.0 states/eV per cell
- V: 41.74 Å³ per atom

---

<b>
Here is a relaxed structure of Ba3Ag2 from Alexandria via LeMat-Bulk. Energies are from PBE.

abc: 4.800 13.398 13.389
angles: 90.00 90.00 90.00
Fractional coordinates of all 20 atoms:
Ag1 0.250 0.186 0.485
Ag2 0.750 0.814 0.515
Ba1 0.250 0.560 0.884
Ag3 0.750 0.998 0.194
Ba2 0.250 0.306 0.723
Ba3 0.250 0.194 0.223
Ba4 0.750 0.440 0.116
Ba5 0.750 0.694 0.277
Ag4 0.750 0.502 0.694
Ba6 0.750 0.060 0.616
Ba7 0.250 0.940 0.384
Ag5 0.750 0.686 0.015
Ag6 0.250 0.002 0.806
Ba8 0.250 0.871 0.051
Ba9 0.750 0.371 0.449
Ba10 0.250 0.629 0.551
Ag7 0.250 0.498 0.306
Ag8 0.250 0.314 0.985
Ba11 0.750 0.806 0.777
Ba12 0.750 0.129 0.949

Computed properties:
- Density of states at the Fermi level: 17.3 states/eV per cell
- V: 43.05 Å³ per atom

---

<b> takes first place; second place is 1.4 kJ/mol of atoms up.

---

<a>
Here is a relaxed structure of Ba4Ag3 from Alexandria via LeMat-Bulk. Energies are from PBE.

abc: 6.586 6.586 7.085
angles: 90.00 90.00 120.00
Fractional coordinates of all 7 atoms:
Ba1 0.000 0.000 0.765
Ag1 0.500 0.000 0.000
Ag2 0.500 0.500 0.000
Ba2 0.000 0.000 0.235
Ag3 0.000 0.500 0.000
Ba3 0.333 0.667 0.500
Ba4 0.667 0.333 0.500

Computed properties:
- Density of states at the Fermi level: 8.6 states/eV per cell
- V: 38.02 Å³ per atom

---

<b>
Here is a relaxed structure of Ba4Ag3 from Alexandria via LeMat-Bulk. Energies are from PBE.

abc: 5.816 5.816 10.131
angles: 73.32 73.32 60.00
Fractional coordinates of all 7 atoms:
Ba1 0.627 0.627 0.120
Ba2 0.373 0.373 0.880
Ag1 0.752 0.752 0.744
Ba3 0.124 0.124 0.629
Ag2 0.248 0.248 0.256
Ba4 0.876 0.876 0.371
Ag3 0.000 0.000 0.000

Computed properties:
- Density of states at the Fermi level: 6.2 states/eV per cell
- V: 40.00 Å³ per atom

---

<b> takes first place; second place is 23.7 kJ/mol of atoms up.

---

<a>
Here is a relaxed structure of BaBe2Ag from Alexandria via LeMat-Bulk. Energies are from PBE.

abc: 4.686 4.686 9.315
angles: 75.43 75.43 90.00
Fractional coordinates of all 8 atoms:
Ag1 0.250 0.750 0.500
Be1 0.375 0.125 0.250
Be2 0.875 0.625 0.750
Ba1 0.000 0.000 0.000
Ba2 0.750 0.250 0.500
Be3 0.375 0.625 0.250
Be4 0.375 0.625 0.750
Ag2 0.500 0.500 0.000

Computed properties:
- Density of states at the Fermi level: 3.3 states/eV per cell
- V: 23.89 Å³ per atom

---

<b>
Here is a relaxed structure of BaBe2Ag from Alexandria via LeMat-Bulk. Energies are from PBE.

abc: 5.241 5.239 5.241
angles: 131.64 108.33 91.23
Fractional coordinates of all 4 atoms:
Ba1 0.250 0.750 0.500
Be1 0.604 0.604 0.000
Be2 0.896 0.896 0.000
Ag1 0.750 0.250 0.500

Computed properties:
- Density of states at the Fermi level: 2.8 states/eV per cell
- V: 24.14 Å³ per atom

---

<a> takes first place; second place is 13.8 kJ/mol of atoms up.

---

<a>
Here is a relaxed structure of BaAg3Bi3 from Alexandria via LeMat-Bulk. Energies are from PBE.

abc: 7.899 7.899 7.899
angles: 90.00 90.00 90.00
Fractional coordinates of all 14 atoms:
Bi1 0.250 0.000 0.500
Ag1 0.750 0.500 0.000
Bi2 0.750 0.000 0.500
Bi3 0.000 0.500 0.250
Bi4 0.500 0.750 0.000
Ba1 0.500 0.500 0.500
Ag2 0.000 0.750 0.500
Ag3 0.000 0.250 0.500
Ag4 0.250 0.500 0.000
Ag5 0.500 0.000 0.250
Bi5 0.500 0.250 0.000
Bi6 0.000 0.500 0.750
Ag6 0.500 0.000 0.750
Ba2 0.000 0.000 0.000

Computed properties:
- Density of states at the Fermi level: 9.7 states/eV per cell
- V: 35.20 Å³ per atom

---

<b>
Here is a relaxed structure of BaAg3Bi3 from Alexandria via LeMat-Bulk. Energies are from PBE.

abc: 7.130 7.130 10.380
angles: 69.91 69.91 60.00
Fractional coordinates of all 14 atoms:
Ag1 0.232 0.935 0.434
Bi1 0.304 0.197 0.751
Ba1 0.696 0.696 0.911
Ba2 0.304 0.304 0.089
Ag2 0.065 0.602 0.566
Bi2 0.748 0.304 0.751
Ag3 0.602 0.768 0.566
Ag4 0.768 0.065 0.566
Ag5 0.398 0.232 0.434
Bi3 0.252 0.696 0.249
Bi4 0.696 0.803 0.249
Bi5 0.803 0.252 0.249
Ag6 0.935 0.398 0.434
Bi6 0.197 0.748 0.751

Computed properties:
- Density of states at the Fermi level: 4.0 states/eV per cell
- V: 29.97 Å³ per atom

---

<b> takes first place; second place is 16.4 kJ/mol of atoms up.

---

<a>
Here is a relaxed structure of Ba2Ag2Bi from Alexandria via LeMat-Bulk. Energies are from PBE.

abc: 4.213 4.213 10.254
angles: 78.15 78.15 90.00
Fractional coordinates of all 5 atoms:
Bi1 0.000 0.000 0.000
Ba1 0.394 0.394 0.212
Ag1 0.250 0.750 0.500
Ba2 0.606 0.606 0.788
Ag2 0.750 0.250 0.500

Computed properties:
- Density of states at the Fermi level: 2.8 states/eV per cell
- V: 34.83 Å³ per atom

---

<b>
Here is a relaxed structure of Ba2Ag2Bi from Alexandria via LeMat-Bulk. Energies are from PBE.

abc: 6.461 6.461 6.359
angles: 59.47 59.47 90.00
Fractional coordinates of all 5 atoms:
Ba1 0.250 0.750 0.500
Ag1 0.349 0.349 0.301
Bi1 0.000 0.000 0.000
Ba2 0.750 0.250 0.500
Ag2 0.651 0.651 0.699

Computed properties:
- Density of states at the Fermi level: 2.9 states/eV per cell
- V: 36.93 Å³ per atom

---

<c>
Here is a relaxed structure of Ba2Ag2Bi from Alexandria via LeMat-Bulk. Energies are from PBE.

abc: 9.561 9.561 4.055
angles: 90.00 90.00 90.00
Fractional coordinates of all 10 atoms:
Ba1 0.679 0.179 0.000
Ag1 0.891 0.391 0.500
Ba2 0.821 0.679 0.000
Ag2 0.391 0.109 0.500
Ba3 0.321 0.821 0.000
Bi1 0.000 0.000 0.000
Ba4 0.179 0.321 0.000
Ag3 0.109 0.609 0.500
Bi2 0.500 0.500 0.000
Ag4 0.609 0.891 0.500

Computed properties:
- Density of states at the Fermi level: 8.3 states/eV per cell
- V: 37.06 Å³ per atom

---

<a> takes first place; second place is 2.6 kJ/mol of atoms up.

---

<a>
Here is a relaxed structure of BaAgBr from Alexandria via LeMat-Bulk. Energies are from PBE.

abc: 5.564 5.564 5.564
angles: 60.00 60.00 60.00
Fractional coordinates of all 3 atoms:
Br1 0.000 0.000 0.000
Ag1 0.500 0.500 0.500
Ba1 0.750 0.750 0.750

Computed properties:
- Density of states at the Fermi level: 0.0 states/eV per cell
- V: 40.59 Å³ per atom

---

<b>
Here is a relaxed structure of BaAgBr from Alexandria via LeMat-Bulk. Energies are from PBE.

abc: 5.484 5.484 5.484
angles: 60.00 60.00 60.00
Fractional coordinates of all 3 atoms:
Ba1 0.500 0.500 0.500
Br1 0.750 0.750 0.750
Ag1 0.000 0.000 0.000

Computed properties:
- V: 38.88 Å³ per atom

---

<a> takes first place; second place is 18.2 kJ/mol of atoms up.